(1)
# TbGe2IrRh (PBE-GGA, optimized geometry)
# D(E_F) = 0.353 states/eV per atom
# Energy of formation = -0.831 eV per atom
# Crystal system = tetragonal
# Total magnetic moment = 0.00 μB per formula unit
data_TbGe2IrRh
_chemical_formula_sum 'Tb2 Ge4 Ir2 Rh2'
_symmetry_space_group_name_H-M 'I -4 m 2'
_symmetry_Int_Tables_number 119
_symmetry_space_group_name_Hall 'I -4 -2'
_cell_length_a 4.1533
_cell_length_b 4.1533
_cell_length_c 10.3650
_cell_angle_alpha 90.00
_cell_angle_beta 90.00
_cell_angle_gamma 90.00
loop_
_atom_site_label
_atom_site_type_symbol
_atom_site_fract_x
_atom_site_fract_y
_atom_site_fract_z
Tb1 Tb 0.0000 0.0000 0.0000
Ge1 Ge 0.0000 0.0000 0.3787
Ir1 Ir 0.0000 0.5000 0.2500
Rh1 Rh 0.0000 0.5000 0.7500



(2)
# ThGe2Ir2Rh (PBE-GGA, optimized geometry)
# D(E_F) = 0.817 states/eV per atom
# Energy of formation = -0.195 eV per atom
# Crystal system = tetragonal
# Total magnetic moment = 0.00 μB per formula unit
data_ThGe2Ir2Rh
_chemical_formula_sum 'Th1 Ge2 Ir2 Rh1'
_symmetry_space_group_name_H-M 'P 4/m m m'
_symmetry_Int_Tables_number 123
_symmetry_space_group_name_Hall '-P 4 2'
_cell_length_a 4.6272
_cell_length_b 4.6272
_cell_length_c 5.4823
_cell_angle_alpha 90.00
_cell_angle_beta 90.00
_cell_angle_gamma 90.00
loop_
_atom_site_label
_atom_site_type_symbol
_atom_site_fract_x
_atom_site_fract_y
_atom_site_fract_z
Th1 Th 0.0000 0.0000 0.0000
Ge1 Ge 0.0000 0.5000 0.5000
Ir1 Ir 0.5000 0.5000 0.2358
Rh1 Rh 0.0000 0.0000 0.5000



(3)
# Th2Ge3IrRh4 (PBE-GGA, optimized geometry)
# D(E_F) = 0.643 states/eV per atom
# Energy of formation = -0.762 eV per atom
# Crystal system = tetragonal
# Total magnetic moment = 0.00 μB per formula unit
data_Th2Ge3IrRh4
_chemical_formula_sum 'Th2 Ge3 Ir1 Rh4'
_symmetry_space_group_name_H-M 'P -4 m 2'
_symmetry_Int_Tables_number 115
_cell_length_a 4.1524
_cell_length_b 4.1524
_cell_length_c 10.7793
_cell_angle_alpha 90.00
_cell_angle_beta 90.00
_cell_angle_gamma 90.00
loop_
_symmetry_equiv_pos_as_xyz
'x,y,z'
'y,-x,-z'
'-x,-y,z'
'-y,x,-z'
'-x,y,z'
'-y,-x,-z'
'x,-y,z'
'y,x,-z'
loop_
_atom_site_label
_atom_site_type_symbol
_atom_site_fract_x
_atom_site_fract_y
_atom_site_fract_z
Th1 Th 0.0000 0.5000 0.2381
Ge1 Ge 0.0000 0.0000 0.0000
Ge2 Ge 0.0000 0.5000 0.6244
Ir1 Ir 0.5000 0.5000 0.0000
Rh1 Rh 0.0000 0.0000 0.5000
Rh2 Rh 0.0000 0.5000 0.8491
Rh3 Rh 0.5000 0.5000 0.5000



(4)
# ThGeIrRh (PBE-GGA, optimized geometry)
# D(E_F) = 0.193 states/eV per atom
# Energy of formation = -0.549 eV per atom
# Crystal system = orthorhombic
# Total magnetic moment = 0.00 μB per formula unit
data_ThGeIrRh
_chemical_formula_sum 'Th2 Ge2 Ir2 Rh2'
_symmetry_space_group_name_H-M 'A m m 2'
_symmetry_Int_Tables_number 38
_cell_length_a 4.3642
_cell_length_b 4.2275
_cell_length_c 9.0614
_cell_angle_alpha 90.00
_cell_angle_beta 90.00
_cell_angle_gamma 90.00
loop_
_symmetry_equiv_pos_as_xyz
'x,y,z'
'-x,-y,z'
'-x,y,z'
'x,-y,z'
'x,y+1/2,z+1/2'
'-x,-y+1/2,z+1/2'
'-x,y+1/2,z+1/2'
'x,-y+1/2,z+1/2'
loop_
_atom_site_label
_atom_site_type_symbol
_atom_site_fract_x
_atom_site_fract_y
_atom_site_fract_z
Th1 Th 0.0000 0.0000 0.0000
Ge1 Ge 0.5000 0.0000 0.4180
Ir1 Ir 0.0000 0.0000 0.2871
Rh1 Rh 0.5000 0.0000 0.7592



(5)
# Th4Ge3IrRh12 (PBE-GGA, optimized geometry)
# D(E_F) = 0.706 states/eV per atom
# Energy of formation = -0.218 eV per atom
# Crystal system = cubic
# Total magnetic moment = 0.00 μB per formula unit
data_Th4Ge3IrRh12
_chemical_formula_sum 'Th8 Ge6 Ir2 Rh24'
_symmetry_space_group_name_H-M 'I m -3 m'
_symmetry_Int_Tables_number 229
_symmetry_space_group_name_Hall '-I 4 2 3'
_cell_length_a 9.2846
_cell_length_b 9.2846
_cell_length_c 9.2846
_cell_angle_alpha 90.00
_cell_angle_beta 90.00
_cell_angle_gamma 90.00
loop_
_atom_site_label
_atom_site_type_symbol
_atom_site_fract_x
_atom_site_fract_y
_atom_site_fract_z
Th1 Th 0.2500 0.2500 0.2500
Ge1 Ge 0.0000 0.0000 0.5000
Ir1 Ir 0.0000 0.0000 0.0000
Rh1 Rh 0.0000 0.0000 0.2595
Rh2 Rh 0.0000 0.2500 0.5000



(6)
# TmGeIrRh (PBE-GGA, optimized geometry)
# D(E_F) = 1.093 states/eV per atom
# Energy of formation = -0.615 eV per atom
# Crystal system = cubic
# Total magnetic moment = 0.00 μB per formula unit
data_TmGeIrRh
_chemical_formula_sum 'Tm4 Ge4 Ir4 Rh4'
_symmetry_space_group_name_H-M 'F -4 3 m'
_symmetry_Int_Tables_number 216
_symmetry_space_group_name_Hall 'F -4 2 3'
_cell_length_a 6.4401
_cell_length_b 6.4401
_cell_length_c 6.4401
_cell_angle_alpha 90.00
_cell_angle_beta 90.00
_cell_angle_gamma 90.00
loop_
_atom_site_label
_atom_site_type_symbol
_atom_site_fract_x
_atom_site_fract_y
_atom_site_fract_z
Tm1 Tm 0.0000 0.0000 0.0000
Ge1 Ge 0.0000 0.0000 0.5000
Ir1 Ir 0.2500 0.2500 0.7500
Rh1 Rh 0.2500 0.2500 0.2500